## a
The following is a DFT calculation (PBE-GGA) of a relaxed structure of AcPm12Nd7.

Geometry as CIF:
```
data_AcPm12Nd7
_chemical_formula_sum 'Ac2 Pm24 Nd14'
_symmetry_space_group_name_H-M 'I m -3 m'
_symmetry_Int_Tables_number 229
_symmetry_space_group_name_Hall '-I 4 2 3'
_cell_length_a 11.6515
_cell_length_b 11.6515
_cell_length_c 11.6515
_cell_angle_alpha 90.00
_cell_angle_beta 90.00
_cell_angle_gamma 90.00
loop_
_atom_site_label
_atom_site_fract_x
_atom_site_fract_y
_atom_site_fract_z
Ac1 0.0000 0.0000 0.0000
Pm1 0.0000 0.2543 0.2543
Nd1 0.0000 0.0000 0.5000
Nd2 0.2500 0.2500 0.2500
```


## b
The following is a DFT calculation (PBE-GGA) of a relaxed structure of AcPm12Nd7.

Geometry as CIF:
```
data_AcPm12Nd7
_chemical_formula_sum 'Ac3 Pm36 Nd21'
_symmetry_space_group_name_H-M 'R -3'
_symmetry_Int_Tables_number 148
_symmetry_space_group_name_Hall '-R 3'
_cell_length_a 12.4541
_cell_length_b 12.4541
_cell_length_c 15.9911
_cell_angle_alpha 90.00
_cell_angle_beta 90.00
_cell_angle_gamma 120.00
loop_
_atom_site_label
_atom_site_fract_x
_atom_site_fract_y
_atom_site_fract_z
Ac1 0.0000 0.0000 0.0000
Pm1 0.0109 0.5729 0.7161
Pm2 0.0520 0.4608 0.0850
Nd1 0.0000 0.0000 0.5000
Nd2 0.0485 0.8603 0.7958
```


Quick one: least stable of them? a


## a
The following is a DFT calculation (PBE-GGA) of a relaxed structure of Ac4PmNd2.

Geometry as CIF:
```
data_Ac4PmNd2
_chemical_formula_sum 'Ac8 Pm2 Nd4'
_symmetry_space_group_name_H-M 'C 1 2/m 1'
_symmetry_Int_Tables_number 12
_cell_length_a 13.0846
_cell_length_b 6.1024
_cell_length_c 9.0703
_cell_angle_alpha 90.00
_cell_angle_beta 125.46
_cell_angle_gamma 90.00
loop_
_symmetry_equiv_pos_as_xyz
'x,y,z'
'-x,-y,-z'
'-x,y,-z'
'x,-y,z'
'x+1/2,y+1/2,z'
'-x+1/2,-y+1/2,-z'
'-x+1/2,y+1/2,-z'
'x+1/2,-y+1/2,z'
loop_
_atom_site_label
_atom_site_fract_x
_atom_site_fract_y
_atom_site_fract_z
Ac1 0.1599 0.0000 0.0190
Ac2 0.1706 0.0000 0.5594
Pm1 0.0000 0.5000 0.0000
Nd1 0.0110 0.5000 0.6732
```


## b
The following is a DFT calculation (PBE-GGA) of a relaxed structure of Ac4PmNd2.

Geometry as CIF:
```
data_Ac4PmNd2
_chemical_formula_sum 'Ac16 Pm4 Nd8'
_symmetry_space_group_name_H-M 'I m m a'
_symmetry_Int_Tables_number 74
_symmetry_space_group_name_Hall '-I 2b 2'
_cell_length_a 7.3393
_cell_length_b 12.3906
_cell_length_c 12.8130
_cell_angle_alpha 90.00
_cell_angle_beta 90.00
_cell_angle_gamma 90.00
loop_
_atom_site_label
_atom_site_fract_x
_atom_site_fract_y
_atom_site_fract_z
Ac1 0.0000 0.0072 0.1532
Ac2 0.2317 0.2500 0.9884
Pm1 0.2500 0.2500 0.2500
Nd1 0.0000 0.0000 0.5000
Nd2 0.0000 0.2500 0.7241
```


Quick one: least stable of them? b


## a
The following is a DFT calculation (PBE-GGA) of a relaxed structure of AcPmPrNd.

Geometry as CIF:
```
data_AcPmPrNd
_chemical_formula_sum 'Ac2 Pm2 Pr2 Nd2'
_symmetry_space_group_name_H-M 'I m m 2'
_symmetry_Int_Tables_number 44
_cell_length_a 5.3158
_cell_length_b 5.3272
_cell_length_c 10.6474
_cell_angle_alpha 90.00
_cell_angle_beta 90.00
_cell_angle_gamma 90.00
loop_
_symmetry_equiv_pos_as_xyz
'x,y,z'
'-x,-y,z'
'-x,y,z'
'x,-y,z'
'x+1/2,y+1/2,z+1/2'
'-x+1/2,-y+1/2,z+1/2'
'-x+1/2,y+1/2,z+1/2'
'x+1/2,-y+1/2,z+1/2'
loop_
_atom_site_label
_atom_site_fract_x
_atom_site_fract_y
_atom_site_fract_z
Ac1 0.0000 0.0000 0.0000
Pm1 0.0000 0.0000 0.5000
Pr1 0.0000 0.5000 0.7502
Nd1 0.0000 0.5000 0.2497
```


## b
The following is a DFT calculation (PBE-GGA) of a relaxed structure of AcPmPrNd.

Geometry as CIF:
```
data_AcPmPrNd
_chemical_formula_sum 'Ac4 Pm4 Pr4 Nd4'
_symmetry_space_group_name_H-M 'F -4 3 m'
_symmetry_Int_Tables_number 216
_symmetry_space_group_name_Hall 'F -4 2 3'
_cell_length_a 8.4457
_cell_length_b 8.4457
_cell_length_c 8.4457
_cell_angle_alpha 90.00
_cell_angle_beta 90.00
_cell_angle_gamma 90.00
loop_
_atom_site_label
_atom_site_fract_x
_atom_site_fract_y
_atom_site_fract_z
Ac1 0.0000 0.0000 0.0000
Pm1 0.2500 0.2500 0.7500
Pr1 0.0000 0.0000 0.5000
Nd1 0.2500 0.2500 0.2500
```


Quick one: least stable of them? b


## a
The following is a DFT calculation (PBE-GGA) of a relaxed structure of AcPmNdTl.

Geometry as CIF:
```
data_AcPmNdTl
_chemical_formula_sum 'Ac2 Pm2 Nd2 Tl2'
_symmetry_space_group_name_H-M 'C 1 m 1'
_symmetry_Int_Tables_number 8
_cell_length_a 13.3952
_cell_length_b 4.0276
_cell_length_c 5.8033
_cell_angle_alpha 90.00
_cell_angle_beta 115.57
_cell_angle_gamma 90.00
loop_
_symmetry_equiv_pos_as_xyz
'x,y,z'
'x,-y,z'
'x+1/2,y+1/2,z'
'x+1/2,-y+1/2,z'
loop_
_atom_site_label
_atom_site_fract_x
_atom_site_fract_y
_atom_site_fract_z
Ac1 0.0000 0.0000 0.0000
Pm1 0.2189 0.0000 0.7189
Nd1 0.2820 0.5000 0.2820
Tl1 0.0021 0.5000 0.5020
```


## b
The following is a DFT calculation (PBE-GGA) of a relaxed structure of AcPmNdTl.

Geometry as CIF:
```
data_AcPmNdTl
_chemical_formula_sum 'Ac4 Pm4 Nd4 Tl4'
_symmetry_space_group_name_H-M 'F -4 3 m'
_symmetry_Int_Tables_number 216
_symmetry_space_group_name_Hall 'F -4 2 3'
_cell_length_a 8.0937
_cell_length_b 8.0937
_cell_length_c 8.0937
_cell_angle_alpha 90.00
_cell_angle_beta 90.00
_cell_angle_gamma 90.00
loop_
_atom_site_label
_atom_site_fract_x
_atom_site_fract_y
_atom_site_fract_z
Ac1 0.0000 0.0000 0.0000
Pm1 0.2500 0.2500 0.7500
Nd1 0.2500 0.2500 0.2500
Tl1 0.0000 0.0000 0.5000
```


Quick one: least stable of them? b


## a
The following is a DFT calculation (PBE-GGA) of a relaxed structure of AcPmNdTm.

Geometry as CIF:
```
data_AcPmNdTm
_chemical_formula_sum 'Ac1 Pm1 Nd1 Tm1'
_symmetry_space_group_name_H-M 'P 3 m 1'
_symmetry_Int_Tables_number 156
_cell_length_a 3.7337
_cell_length_b 3.7337
_cell_length_c 11.9303
_cell_angle_alpha 90.00
_cell_angle_beta 90.00
_cell_angle_gamma 120.00
loop_
_symmetry_equiv_pos_as_xyz
'x,y,z'
'-y,x-y,z'
'-x+y,-x,z'
'-y,-x,z'
'-x+y,y,z'
'x,x-y,z'
loop_
_atom_site_label
_atom_site_fract_x
_atom_site_fract_y
_atom_site_fract_z
Ac1 0.0000 0.0000 0.0000
Pm1 0.3333 0.6667 0.4891
Nd1 0.6667 0.3333 0.7358
Tm1 0.6667 0.3333 0.2535
```


## b
The following is a DFT calculation (PBE-GGA) of a relaxed structure of AcPmNdTm.

Geometry as CIF:
```
data_AcPmNdTm
_chemical_formula_sum 'Ac4 Pm4 Nd4 Tm4'
_symmetry_space_group_name_H-M 'F -4 3 m'
_symmetry_Int_Tables_number 216
_symmetry_space_group_name_Hall 'F -4 2 3'
_cell_length_a 8.3317
_cell_length_b 8.3317
_cell_length_c 8.3317
_cell_angle_alpha 90.00
_cell_angle_beta 90.00
_cell_angle_gamma 90.00
loop_
_atom_site_label
_atom_site_fract_x
_atom_site_fract_y
_atom_site_fract_z
Ac1 0.0000 0.0000 0.0000
Pm1 0.2500 0.2500 0.7500
Nd1 0.0000 0.0000 0.5000
Tm1 0.2500 0.2500 0.2500
```


Quick one: least stable of them? b


## a
The following is a DFT calculation (PBE-GGA) of a relaxed structure of AcPrNd.

Geometry as CIF:
```
data_AcPrNd
_chemical_formula_sum 'Ac4 Pr4 Nd4'
_symmetry_space_group_name_H-M 'C m c m'
_symmetry_Int_Tables_number 63
_symmetry_space_group_name_Hall '-C 2c 2'
_cell_length_a 3.7413
_cell_length_b 21.5285
_cell_length_c 5.7371
_cell_angle_alpha 90.00
_cell_angle_beta 90.00
_cell_angle_gamma 90.00
loop_
_atom_site_label
_atom_site_fract_x
_atom_site_fract_y
_atom_site_fract_z
Ac1 0.0000 0.1188 0.2500
Pr1 0.0000 0.2916 0.2500
Nd1 0.0000 0.4584 0.2500
```


## b
The following is a DFT calculation (PBE-GGA) of a relaxed structure of AcPrNd.

Geometry as CIF:
```
data_AcPrNd
_chemical_formula_sum 'Ac2 Pr2 Nd2'
_symmetry_space_group_name_H-M 'I 4 m m'
_symmetry_Int_Tables_number 107
_symmetry_space_group_name_Hall 'I 4 -2'
_cell_length_a 3.8203
_cell_length_b 3.8203
_cell_length_c 15.9378
_cell_angle_alpha 90.00
_cell_angle_beta 90.00
_cell_angle_gamma 90.00
loop_
_atom_site_label
_atom_site_fract_x
_atom_site_fract_y
_atom_site_fract_z
Ac1 0.0000 0.0000 0.0000
Pr1 0.0000 0.0000 0.6718
Nd1 0.0000 0.0000 0.3296
```


Quick one: least stable of them? a